No. 1
The following is a GGA-PBE calculation of LuCdCuPt after structural relaxation, from Alexandria via LeMat-Bulk.

Structure (POSCAR):
```
LuCdCuPt
1.0
-2.165 4.082 -0.897
-2.347 0.581 -4.038
-4.701 0.225 0.022
Lu Cu Pt Cd
1 1 1 1
Direct
0.000 0.000 0.000
0.250 0.250 0.250
0.750 0.750 0.750
0.500 0.500 0.500
```

Summary:
Energy of formation from the pure elements   -0.575 eV per atom
Total DFT energy (no corrections)   -4.47 eV/atom



No. 2
The following is a GGA-PBE calculation of LuPuCdCu after structural relaxation, from Alexandria via LeMat-Bulk.

Structure (POSCAR):
```
LuPuCdCu
1.0
5.101 0.000 0.000
2.550 4.417 0.000
2.550 1.472 4.165
Cd Lu Cu Pu
1 1 1 1
Direct
0.250 0.250 0.250
0.500 0.500 0.500
0.750 0.750 0.750
0.000 0.000 0.000
```

Summary:
Energy of formation from the pure elements   -0.005 eV per atom
Total DFT energy (no corrections)   -5.97 eV/atom



No. 3
The following is a GGA-PBE calculation of LuCdCuRu after structural relaxation, from Alexandria via LeMat-Bulk.

Structure (POSCAR):
```
LuCdCuRu
1.0
-0.647 1.187 -4.449
-2.874 -2.490 -2.676
-4.063 1.807 -1.357
Ru Lu Cu Cd
1 1 1 1
Direct
0.750 0.750 0.750
0.000 0.000 0.000
0.250 0.250 0.250
0.500 0.500 0.500
```

Summary:
Energy of formation from the pure elements   -0.095 eV per atom
Total DFT energy (no corrections)   -4.80 eV/atom



No. 4
The following is a GGA-PBE calculation of LuScCdCu after structural relaxation, from Alexandria via LeMat-Bulk.

Structure (POSCAR):
```
LuScCdCu
1.0
4.926 0.000 0.000
2.463 4.266 0.000
2.463 1.422 4.022
Sc Lu Cu Cd
1 1 1 1
Direct
0.750 0.750 0.750
0.250 0.250 0.250
0.000 0.000 0.000
0.500 0.500 0.500
```

Summary:
Energy of formation from the pure elements   -0.224 eV per atom
Total DFT energy (no corrections)   -4.19 eV/atom



No. 5
The following is a GGA-PBE calculation of TmLuCdCu after structural relaxation, from Alexandria via LeMat-Bulk.

Structure (POSCAR):
```
TmLuCdCu
1.0
5.033 0.000 0.000
2.517 4.359 0.000
2.517 1.453 4.110
Lu Tm Cu Cd
1 1 1 1
Direct
0.000 0.000 0.000
0.500 0.500 0.500
0.250 0.250 0.250
0.750 0.750 0.750
```

Summary:
Energy of formation from the pure elements   -0.243 eV per atom
Total DFT energy (no corrections)   -3.74 eV/atom



No. 6
The following is a GGA-PBE calculation of YLuCdCu after structural relaxation, from Alexandria via LeMat-Bulk.

Structure (POSCAR):
```
YLuCdCu
1.0
5.075 0.000 0.000
2.538 4.395 0.000
2.538 1.465 4.144
Y Lu Cu Cd
1 1 1 1
Direct
0.000 0.000 0.000
0.500 0.500 0.500
0.250 0.250 0.250
0.750 0.750 0.750
```

Summary:
Energy of formation from the pure elements   -0.241 eV per atom
Total DFT energy (no corrections)   -4.24 eV/atom